Entry 1:
Ac2Al4BiAu3 PBE optimized geometry; calculated total energy = -4.30 eV per atom; formation energy from the elements = -0.615 eV per atom; magnetization = 0.0 μB per formula unit; crystal system = tetragonal
1.0
4.6365 0.0000 0.0000
0.0000 4.6365 0.0000
0.0000 0.0000 10.8615
Ac Al Bi Au
2 4 1 3
direct
0.0000 0.5000 0.2406
0.5000 0.0000 0.7594
0.0000 0.0000 0.0000
0.0000 0.5000 0.6487
0.5000 0.0000 0.3513
0.5000 0.5000 0.0000
0.0000 0.0000 0.5000
0.0000 0.5000 0.8810
0.5000 0.0000 0.1190
0.5000 0.5000 0.5000



Entry 2:
Er2Ti2AlCo5 PBE optimized geometry; calculated total energy = -6.57 eV per atom; formation energy from the elements = -0.150 eV per atom; magnetization = 0.0 μB per formula unit; crystal system = tetragonal
1.0
9.9081 0.0000 0.0000
0.0000 9.9081 0.0000
0.0000 0.0000 3.0843
Er Ti Al Co
4 4 2 10
direct
0.1747 0.3253 0.0000
0.3253 0.8253 0.0000
0.6747 0.1747 0.0000
0.8253 0.6747 0.0000
0.1296 0.6296 0.0000
0.3704 0.1296 0.0000
0.6296 0.8704 0.0000
0.8704 0.3704 0.0000
0.0000 0.0000 0.0000
0.5000 0.5000 0.0000
0.0000 0.5000 0.5000
0.0518 0.8041 0.5000
0.1959 0.0518 0.5000
0.3041 0.5518 0.5000
0.4482 0.3041 0.5000
0.5000 0.0000 0.5000
0.5518 0.6959 0.5000
0.6959 0.4482 0.5000
0.8041 0.9482 0.5000
0.9482 0.1959 0.5000



Entry 3:
SrPRuO2 PBE optimized geometry; calculated total energy = -6.10 eV per atom; energy relative to the lowest polymorph listed for this composition = 0 meV/atom; magnetization = 1.6 μB per formula unit; crystal system = tetragonal; E_form (uncorrected) = -406 kJ/mol of formula units
1.0
4.1034 0.0000 0.0000
0.0000 4.1034 0.0000
0.0000 0.0000 4.6585
Sr P Ru O
1 1 1 2
direct
0.0000 0.0000 0.0000
0.5000 0.5000 0.0000
0.5000 0.5000 0.5000
0.0000 0.5000 0.5000
0.5000 0.0000 0.5000



Entry 4:
Cd2PdPb2 PBE optimized geometry; calculated total energy = -2.85 eV per atom; energy relative to the lowest polymorph listed for this composition = 0 meV/atom; formation energy from the elements = 0.037 eV per atom; magnetization = 0.0 μB per formula unit; crystal system = tetragonal
1.0
7.2427 0.0000 0.0000
0.0000 7.2427 0.0000
0.0000 0.0000 4.7938
Cd Pd Pb
4 2 4
direct
0.1431 0.3569 0.0000
0.3569 0.8569 0.0000
0.6431 0.1431 0.0000
0.8569 0.6431 0.0000
0.0000 0.0000 0.0000
0.5000 0.5000 0.0000
0.1730 0.6730 0.5000
0.3270 0.1730 0.5000
0.6730 0.8270 0.5000
0.8270 0.3270 0.5000



Entry 5:
Tl4InSn4 PBE optimized geometry; calculated total energy = -3.10 eV per atom; formation energy from the elements = 0.033 eV per atom; magnetization = 0.0 μB per formula unit; crystal system = tetragonal
1.0
-5.1950 5.1950 2.4342
5.1950 -5.1950 2.4342
5.1950 5.1950 -2.4342
Tl In Sn
4 1 4
direct
0.0000 0.3263 0.3263
0.0000 0.6737 0.6737
0.3263 0.0000 0.3263
0.6737 0.0000 0.6737
0.0000 0.0000 0.0000
0.3382 0.3382 0.6764
0.3382 0.6618 0.0000
0.6618 0.3382 0.0000
0.6618 0.6618 0.3236



Entry 6:
Th6NiTe3Os2 PBE optimized geometry; calculated total energy = -7.67 eV per atom; magnetization = 0.0 μB per formula unit; crystal system = monoclinic; E_form (uncorrected) = -946 kJ/mol of formula units
1.0
9.7636 -2.1008 0.0000
9.7636 2.1008 0.0000
-3.1118 0.0000 8.5012
Th Ni Te Os
6 1 3 2
direct
0.0119 0.0119 0.2227
0.3218 0.3218 0.4446
0.3444 0.3444 0.8889
0.6556 0.6556 0.1111
0.6782 0.6782 0.5554
0.9881 0.9881 0.7773
0.5000 0.5000 0.0000
0.1663 0.1663 0.8343
0.5000 0.5000 0.5000
0.8337 0.8337 0.1657
0.1648 0.1648 0.3299
0.8352 0.8352 0.6701



Entry 7:
Be2CdAs PBE optimized geometry; calculated total energy = -2.70 eV per atom; energy relative to the lowest polymorph listed for this composition = 358 meV/atom; formation energy from the elements = 0.558 eV per atom; magnetization = 0.0 μB per formula unit; crystal system = tetragonal
1.0
3.6154 0.0000 0.0000
0.0000 3.6154 0.0000
0.0000 0.0000 9.2666
Be Cd As
4 2 2
direct
0.0000 0.0000 0.0000
0.0000 0.5000 0.2500
0.5000 0.0000 0.7500
0.5000 0.5000 0.5000
0.0000 0.5000 0.7500
0.5000 0.0000 0.2500
0.0000 0.0000 0.5000
0.5000 0.5000 0.0000



Entry 8:
SmNp5As6 PBE optimized geometry; calculated total energy = -8.89 eV per atom; formation energy from the elements = -0.785 eV per atom; magnetization = 4.0 μB per formula unit; crystal system = monoclinic
1.0
3.5778 -6.1625 0.0000
3.5778 6.1625 0.0000
-2.3554 0.0000 6.7237
Sm Np As
1 5 6
direct
0.0000 0.0000 0.0000
0.1649 0.8351 0.5000
0.3331 0.6669 0.0000
0.5000 0.5000 0.5000
0.6669 0.3331 0.0000
0.8351 0.1649 0.5000
0.0842 0.4228 0.2532
0.2542 0.2542 0.7478
0.4228 0.0842 0.2532
0.5772 0.9158 0.7468
0.7458 0.7458 0.2522
0.9158 0.5772 0.7468



Entry 9:
NpGe2Rh5 PBE optimized geometry; calculated total energy = -7.77 eV per atom; formation energy from the elements = -0.401 eV per atom; magnetization = 3.1 μB per formula unit; crystal system = orthorhombic
1.0
3.8290 0.0000 0.0000
0.0000 6.9811 0.0000
0.0000 0.0000 9.8902
Np Ge Rh
2 4 10
direct
0.0000 0.0000 0.0000
0.5000 0.5000 0.5000
0.0000 0.5000 0.2442
0.0000 0.5000 0.7558
0.5000 0.0000 0.2558
0.5000 0.0000 0.7442
0.0000 0.2010 0.3610
0.0000 0.2010 0.6390
0.0000 0.5000 0.0000
0.0000 0.7990 0.3610
0.0000 0.7990 0.6390
0.5000 0.0000 0.5000
0.5000 0.2990 0.1390
0.5000 0.2990 0.8610
0.5000 0.7010 0.1390
0.5000 0.7010 0.8610



Entry 10:
Cr2NiHg PBE optimized geometry; calculated total energy = -5.66 eV per atom; formation energy from the elements = 0.673 eV per atom; magnetization = 0.0 μB per formula unit; crystal system = trigonal
1.0
2.7012 0.0000 0.0000
-1.3506 2.3393 0.0000
0.0000 0.0000 26.6620
Cr Ni Hg
6 3 3
direct
0.0000 0.0000 0.2409
0.0000 0.0000 0.7591
0.3333 0.6667 0.4258
0.3333 0.6667 0.9076
0.6667 0.3333 0.0924
0.6667 0.3333 0.5742
0.0000 0.0000 0.5000
0.3333 0.6667 0.1667
0.6667 0.3333 0.8333
0.0000 0.0000 0.0000
0.3333 0.6667 0.6667
0.6667 0.3333 0.3333



Entry 11:
MgZrPt2 PBE optimized geometry; calculated total energy = -6.41 eV per atom; formation energy from the elements = -0.852 eV per atom; magnetization = 0.0 μB per formula unit; crystal system = tetragonal
1.0
3.9798 0.0000 0.0000
0.0000 3.9798 0.0000
0.0000 0.0000 8.7685
Mg Zr Pt
2 2 4
direct
0.0000 0.0000 0.0000
0.5000 0.5000 0.5000
0.0000 0.5000 0.2500
0.5000 0.0000 0.7500
0.0000 0.0000 0.5000
0.0000 0.5000 0.7500
0.5000 0.0000 0.2500
0.5000 0.5000 0.0000



Entry 12:
KUTe2 PBE optimized geometry; calculated total energy = -5.49 eV per atom; magnetization = 3.0 μB per formula unit; crystal system = trigonal; E_form (uncorrected) = -319 kJ/mol of formula units
1.0
4.4313 0.0000 0.0000
-2.2157 3.8377 0.0000
0.0000 0.0000 8.6068
K U Te
1 1 2
direct
0.0000 0.0000 0.0000
0.0000 0.0000 0.5000
0.3333 0.6667 0.2887
0.6667 0.3333 0.7113